A relaxed SrPmTh crystal. Source: the Alexandria database, functional GGA-PBE.

The energy of formation comes out at 0.2023 eV per atom.

The structure belongs to space group R-3m (No. 166, hexagonal axes); the cell edges are 3.6976, 3.6976 and 58.4215 Å and the angles 90.00°, 90.00° and 120.00°. The inequivalent atoms are Sr at (0.0000, 0.0000, 0.1968), Pm at (0.0000, 0.0000, 0.2589) and Th at (0.0000, 0.0000, 0.3584).